(1)
DFT (GGA-PBE) results for crystalline LiMnSnCl5 at its relaxed geometry.

Raw formation energy in meV/atom: -1177
Raw total energy in eV per cell: -67.5
SG: C2/c
DOS(E_F) in states/eV/atom: 0.00

Cell lengths 6.9698, 6.9698, 10.5114 Å; angles 110.91, 110.91, 84.33 degrees
Atoms (fractional coordinates):
Li 0.0000 0.0000 0.5000
Li 0.0000 0.0000 0.0000
Mn 0.7245 0.2755 0.2500
Mn 0.2755 0.7245 0.7500
Sn 0.3261 0.6739 0.2500
Sn 0.6739 0.3261 0.7500
Cl 0.9804 0.0196 0.2500
Cl 0.0196 0.9804 0.7500
Cl 0.7725 0.2936 0.0272
Cl 0.2275 0.7064 0.9728
Cl 0.7064 0.2275 0.4728
Cl 0.2936 0.7725 0.5272
Cl 0.7325 0.6532 0.3536
Cl 0.2675 0.3468 0.6464
Cl 0.3468 0.2675 0.1464
Cl 0.6532 0.7325 0.8536



(2)
DFT (GGA-PBE) results for crystalline LiMnSnCl6 at its relaxed geometry.

Raw formation energy in meV/atom: -1141
Raw total energy in eV per cell: -36.4
SG: P312
DOS(E_F) in states/eV/atom: 0.31

Cell lengths 6.0402, 6.4143, 6.4143 Å; angles 120.00, 90.00, 90.00 degrees
Atoms (fractional coordinates):
Li 0.5000 0.6667 0.3333
Mn 0.5000 0.0000 0.0000
Sn 0.0000 0.3333 0.6667
Cl 0.7292 0.6975 0.6844
Cl 0.7292 0.3156 0.0130
Cl 0.7292 0.9870 0.3025
Cl 0.2708 0.3156 0.3025
Cl 0.2708 0.6975 0.0130
Cl 0.2708 0.9870 0.6844



(3)
DFT (GGA-PBE) results for crystalline Li2MnSnCl8 at its relaxed geometry.

Raw formation energy in meV/atom: -1224
Raw total energy in eV per cell: -46.5
SG: P-1
DOS(E_F) in states/eV/atom: 0.02

Cell lengths 6.4176, 6.2458, 7.5507 Å; angles 90.04, 89.96, 99.91 degrees
Atoms (fractional coordinates):
Li 0.5011 0.4991 0.7682
Li 0.4989 0.5009 0.2318
Mn 0.0000 0.0000 0.0000
Sn 0.0000 0.0000 0.5000
Cl 0.1580 0.8038 0.2631
Cl 0.6886 0.7176 0.0000
Cl 0.8422 0.1959 0.2634
Cl 0.8420 0.1962 0.7369
Cl 0.3114 0.2824 0.0000
Cl 0.1578 0.8041 0.7366
Cl 0.6778 0.7140 0.5001
Cl 0.3222 0.2860 0.4999



(4)
DFT (GGA-PBE) results for crystalline LiMnSn2Cl6 at its relaxed geometry.

Raw formation energy in meV/atom: -1029
Raw total energy in eV per cell: -40.5
SG: P1

Cell lengths 7.2554, 7.2524, 7.4562 Å; angles 60.89, 60.86, 59.93 degrees
Atoms (fractional coordinates):
Li 0.8063 0.8061 0.5815
Mn 0.4093 0.4094 0.7721
Sn 0.5661 0.5660 0.3021
Sn 0.9941 0.9942 0.0172
Cl 0.6031 0.1568 0.3063
Cl 0.1563 0.9341 0.3059
Cl 0.9343 0.6034 0.3057
Cl 0.4604 0.6780 0.8080
Cl 0.6778 0.0532 0.8086
Cl 0.0538 0.4603 0.8078



(5)
DFT (GGA-PBE) results for crystalline Li2MnSnCl6 at its relaxed geometry.

Raw formation energy in meV/atom: -1322
Raw total energy in eV per cell: -41.3
SG: R3
DOS(E_F) in states/eV/atom: 0.00

Cell lengths 6.6305, 6.6316, 7.1739 Å; angles 62.48, 62.47, 59.99 degrees
Atoms (fractional coordinates):
Li 0.5166 0.5168 0.4499
Li 0.0135 0.0134 0.9600
Mn 0.3211 0.3210 0.0366
Sn 0.8157 0.8160 0.5524
Cl 0.5893 0.2467 0.2420
Cl 0.2467 0.9220 0.2419
Cl 0.9221 0.5891 0.2421
Cl 0.3752 0.7254 0.7634
Cl 0.7255 0.1358 0.7635
Cl 0.1359 0.3753 0.7634



(6)
DFT (GGA-PBE) results for crystalline SrLiMn2Cl8 at its relaxed geometry.

Raw formation energy in meV/atom: -1415
Raw total energy in eV per cell: -53.7
SG: P-3
DOS(E_F) in states/eV/atom: 0.92

Cell lengths 7.3601, 7.3601, 7.6936 Å; angles 90.00, 90.00, 120.00 degrees
Atoms (fractional coordinates):
Sr 0.0000 0.0000 0.0000
Li 0.0000 0.0000 0.5000
Mn 0.6667 0.3333 0.2024
Mn 0.3333 0.6667 0.7976
Cl 0.3333 0.6667 0.0840
Cl 0.3169 0.1647 0.2845
Cl 0.8353 0.1522 0.2845
Cl 0.6667 0.3333 0.9160
Cl 0.1647 0.8478 0.7155
Cl 0.6831 0.8353 0.7155
Cl 0.1522 0.3169 0.7155
Cl 0.8478 0.6831 0.2845



What is the raw total energy in the third record?
-46.5 eV per cell